BaFePbF6: optimized geometry, GGA+U.

The structure belongs to space group P-31c (No. 163); the cell edges are 6.3047, 6.3047 and 9.3465 Å and the angles 90.00°, 90.00° and 120.00°. Symmetry generates all atoms from Ba at (0.3333, 0.6667, 0.2500), Fe at (0.3333, 0.6667, 0.7500), Pb at (0.0000, 0.0000, 0.0000) and F at (0.0616, 0.3741, 0.6286).

As for the size of the total moment: 0.44 μB/atom. Its volume is 17.87 Å³ per atom. The calculation puts the total energy at -93.837 eV per cell.